[1]
Below is CrAs2PbSe at its PBEsol-relaxed geometry, with properties calculated at the meta-GGA SCAN level.

Unit cell a=4.5361 b=4.5361 c=5.3948 alpha=90.00 beta=90.00 gamma=90.00
Closest atoms and distances in Å follow each position.
Fractional positions:
Cr1 0.0000 0.0000 0.0000  4 As 2.27
As1 0.0000 0.5000 0.0000  2 Cr 2.27
As2 0.5000 0.0000 0.0000  2 Cr 2.27
Pb1 0.5000 0.5000 0.5000  4 Se 3.21, 8 As 3.52
Se1 0.0000 0.0000 0.5000  2 Cr 2.70

Output
Raw formation energy (kJ/mol of formula units): 48
D(E_F) (states/eV per atom): 0.434
Calculated volume (Å³/cell): 111.0
Total magnetization (μB/cell): 1.446
Final energy (eV/atom): -30.82
SG: No. 123

=====

[2]
Below is CrAs3Pd at its PBEsol-relaxed geometry, with properties calculated at the meta-GGA SCAN level.

Unit cell a=4.7914 b=4.7914 c=4.7914 alpha=90.00 beta=90.00 gamma=90.00
Closest atoms and distances in Å follow each position.
Fractional positions:
Cr1 0.0000 0.0000 0.0000  12 As 3.39
As1 0.0000 0.5000 0.5000  2 Pd 2.40
As2 0.5000 0.0000 0.5000  2 Pd 2.40
As3 0.5000 0.5000 0.0000  2 Pd 2.40
Pd1 0.5000 0.5000 0.5000  6 As 2.40

Output
D(E_F) (states/eV per atom): 0.594
ΔE_f (meV per atom): 629
Calculated volume (Å³/cell): 110.0
Total magnetization (μB/cell): 3.183
Final energy (eV/atom): -21.72
SG: No. 221

=====

[3]
Below is CrAsPd at its PBEsol-relaxed geometry, with properties calculated at the meta-GGA SCAN level.

Unit cell a=6.5921 b=6.5921 c=3.5789 alpha=90.00 beta=90.00 gamma=120.00
Closest atoms and distances in Å follow each position.
Fractional positions:
Cr1 0.0000 0.6058 0.0000  5 As 2.60-2.70, 2 Pd 2.85
Cr2 0.3942 0.3942 0.0000  5 As 2.60-2.70, 2 Pd 2.85
Cr3 0.6058 0.0000 0.0000  5 As 2.60-2.70, 2 Pd 2.85
As1 0.0000 0.0000 0.0000  6 Pd 2.52, 3 Cr 2.60
As2 0.3333 0.6667 0.5000  3 Pd 2.44, 6 Cr 2.70
As3 0.6667 0.3333 0.5000  3 Pd 2.44, 6 Cr 2.70
Pd1 0.0000 0.2686 0.5000  4 As 2.44-2.52
Pd2 0.2686 0.0000 0.5000  4 As 2.44-2.52
Pd3 0.7314 0.7314 0.5000  4 As 2.44-2.52

Output
D(E_F) (states/eV per atom): 0.233
ΔE_f (meV per atom): -446
Calculated volume (Å³/cell): 134.7
Total magnetization (μB/cell): 9.738
Final energy (eV/atom): -24.23
SG: No. 189

=====

[4]
Below is Cr2AsPt at its PBEsol-relaxed geometry, with properties calculated at the meta-GGA SCAN level.

Unit cell a=8.2795 b=8.2795 c=8.2795 alpha=18.96 beta=18.96 gamma=18.96
Closest atoms and distances in Å follow each position.
Fractional positions:
Cr1 0.2464 0.2464 0.2464  3 As 2.50, 3 Pt 2.64, 6 Cr 2.73
Cr2 0.7536 0.7536 0.7536  3 As 2.50, 3 Pt 2.64, 6 Cr 2.73
As1 0.5000 0.5000 0.5000  6 Cr 2.50, 6 As 2.73
Pt1 0.0000 0.0000 0.0000  6 Cr 2.64, 6 Pt 2.73

Output
D(E_F) (states/eV per atom): 1.159
ΔE_f (meV per atom): 165
Calculated volume (Å³/cell): 52.4
Total magnetization (μB/cell): 0.002
Final energy (eV/atom): -31.62
SG: No. 166

=====

[5]
Below is RbSrCrAs2 at its PBEsol-relaxed geometry, with properties calculated at the meta-GGA SCAN level.

Unit cell a=5.6972 b=5.6972 c=5.7841 alpha=90.00 beta=90.00 gamma=90.00
Closest atoms and distances in Å follow each position.
Fractional positions:
Rb1 0.0000 0.0000 0.0000  4 Cr 4.03, 8 As 4.06
Sr1 0.5000 0.5000 0.5000  4 As 2.85, 2 Cr 2.89
Cr1 0.5000 0.5000 0.0000  2 Sr 2.89
As1 0.0000 0.5000 0.5000  2 Sr 2.85
As2 0.5000 0.0000 0.5000  2 Sr 2.85

Output
D(E_F) (states/eV per atom): 0.646
ΔE_f (meV per atom): 528
Calculated volume (Å³/cell): 187.7
Total magnetization (μB/cell): 5.065
Final energy (eV/atom): -19.83
SG: No. 123

=====

[6]
Below is CrReAs2 at its PBEsol-relaxed geometry, with properties calculated at the meta-GGA SCAN level.

Unit cell a=4.6487 b=4.6487 c=4.6487 alpha=129.93 beta=129.93 gamma=73.52
Closest atoms and distances in Å follow each position.
Fractional positions:
Cr1 0.0000 0.0000 0.0000  4 Re 2.71, 8 As 2.71-2.78
Re1 0.7500 0.2500 0.5000  8 As 2.71-2.78, 4 Cr 2.71
As1 0.2500 0.7500 0.5000  4 As 2.71, 4 Cr 2.71, 4 Re 2.78
As2 0.5000 0.5000 0.0000  4 Re 2.71, 4 As 2.71, 4 Cr 2.78

Output
Energy above the lowest structure with this stoichiometry (meV/atom): 0
D(E_F) (states/eV per atom): 0.647
ΔE_f (meV per atom): 385
Calculated volume (Å³/cell): 57.6
Total magnetization (μB/cell): 1.352
Final energy (eV/atom): -32.08
SG: No. 119